Density functional theory data (PBE) for Ta2AlHg after structural relaxation.

Cell and atoms, written as CIF:
```
data_Ta2AlHg
_cell_length_a 5.294
_cell_length_b 5.294
_cell_length_c 5.294
_cell_angle_alpha 140.66
_cell_angle_beta 128.65
_cell_angle_gamma 66.55
_symmetry_space_group_name_H-M 'P 1'
_symmetry_Int_Tables_number 1
loop_
_symmetry_equiv_pos_as_xyz
'x,y,z'
loop_
_atom_site_label
_atom_site_fract_x
_atom_site_fract_y
_atom_site_fract_z
Al1 0.495 0.495 0.000
Hg1 0.260 0.760 0.500
Ta1 0.998 0.998 0.000
Ta2 0.747 0.247 0.500
```

raw total energy	-6.75	eV per atom
space-group type	Imm2 (44)
spin magnetization	0.0000	μB/atom
energy of formation	0.191	eV/atom
energy above the lowest structure with this stoichiometry	0.130	eV per atom